Entry 1:
# Tm3Al2Pd | Alexandria via LeMat-Bulk | PBE | relaxed
data_Tm3Al2Pd
_space_group_name_H-M_alt 'P 4/m m m'
_space_group_IT_number 123
_space_group_name_Hall '-P 4 2'
_cell_length_a 3.5413
_cell_length_b 3.5413
_cell_length_c 10.4733
_cell_angle_alpha 90.00
_cell_angle_beta 90.00
_cell_angle_gamma 90.00
loop_
_atom_site_label
_atom_site_fract_x
_atom_site_fract_y
_atom_site_fract_z
Tm1 0.0000 0.0000 0.0000
Tm2 0.0000 0.0000 0.3421
Al1 0.5000 0.5000 0.1693
Pd1 0.5000 0.5000 0.5000
# Volume: 21.89 Å³ per atom
# Formation enthalpy at 0 K: -56.02 kJ/mol of atoms
# Magnetization: 0.000 μB/cell
# Density of states at the Fermi level: 0.46 states/eV per atom

Entry 2:
# Nd2DyHo2Mg | Alexandria via LeMat-Bulk | PBE | relaxed
data_Nd2DyHo2Mg
_space_group_name_H-M_alt 'P n n m'
_space_group_IT_number 58
_cell_length_a 10.1602
_cell_length_b 11.9987
_cell_length_c 3.6316
_cell_angle_alpha 90.00
_cell_angle_beta 90.00
_cell_angle_gamma 90.00
loop_
_space_group_symop_operation_xyz
'x,y,z'
'-x,-y,-z'
'-x,-y,z'
'x,y,-z'
'x+1/2,-y+1/2,-z+1/2'
'-x+1/2,y+1/2,z+1/2'
'-x+1/2,y+1/2,-z+1/2'
'x+1/2,-y+1/2,z+1/2'
loop_
_atom_site_label
_atom_site_fract_x
_atom_site_fract_y
_atom_site_fract_z
Nd1 0.1074 0.2213 0.0000
Dy1 0.0000 0.0000 0.5000
Ho1 0.2477 0.4297 0.5000
Mg1 0.0000 0.5000 0.0000
# Volume: 36.89 Å³ per atom
# Formation enthalpy at 0 K: 42.28 kJ/mol of atoms
# Magnetization: 0.000 μB/cell
# Density of states at the Fermi level: 1.39 states/eV per atom

Entry 3:
# DyY3Pt | Alexandria via LeMat-Bulk | PBE | relaxed
data_DyY3Pt
_space_group_name_H-M_alt 'C 1 m 1'
_space_group_IT_number 8
_cell_length_a 12.1966
_cell_length_b 3.7558
_cell_length_c 13.8938
_cell_angle_alpha 90.00
_cell_angle_beta 115.70
_cell_angle_gamma 90.00
loop_
_space_group_symop_operation_xyz
'x,y,z'
'x,-y,z'
'x+1/2,y+1/2,z'
'x+1/2,-y+1/2,z'
loop_
_atom_site_label
_atom_site_fract_x
_atom_site_fract_y
_atom_site_fract_z
Dy1 0.0000 0.0000 0.0000
Dy2 0.1098 0.0000 0.2825
Y1 0.1221 0.0000 0.6340
Y2 0.2303 0.0000 0.9175
Y3 0.2724 0.5000 0.1589
Y4 0.2900 0.5000 0.5185
Y5 0.4424 0.0000 0.3960
Y6 0.4575 0.0000 0.7575
Pt1 0.2879 0.5000 0.7877
Pt2 0.4466 0.0000 0.1310
# Volume: 28.68 Å³ per atom
# Formation enthalpy at 0 K: -51.82 kJ/mol of atoms
# Magnetization: 0.001 μB/cell
# Density of states at the Fermi level: 1.31 states/eV per atom
# Distance to the lowest polymorph of the same formula: 0.000 eV/f.u.

Entry 4:
# HfZnOF2 | Alexandria via LeMat-Bulk | PBE | relaxed
data_HfZnOF2
_space_group_name_H-M_alt 'P 4/m m m'
_space_group_IT_number 123
_space_group_name_Hall '-P 4 2'
_cell_length_a 4.3029
_cell_length_b 4.3029
_cell_length_c 4.0112
_cell_angle_alpha 90.00
_cell_angle_beta 90.00
_cell_angle_gamma 90.00
loop_
_atom_site_label
_atom_site_fract_x
_atom_site_fract_y
_atom_site_fract_z
Hf1 0.0000 0.0000 0.0000
Zn1 0.5000 0.5000 0.5000
O1 0.0000 0.0000 0.5000
F1 0.0000 0.5000 0.0000
# Raw formation energy: -2.4820 eV per atom
# Volume: 14.85 Å³ per atom
# Magnetization: 0.000 μB/cell
# Density of states at the Fermi level: 0.00 states/eV per atom
# Distance to the lowest polymorph of the same formula: 0.000 eV/f.u.

Entry 5:
# CePmTh14 | Alexandria via LeMat-Bulk | PBE | relaxed
data_CePmTh14
_space_group_name_H-M_alt 'P 4/m m m'
_space_group_IT_number 123
_space_group_name_Hall '-P 4 2'
_cell_length_a 7.0960
_cell_length_b 7.0960
_cell_length_c 10.1482
_cell_angle_alpha 90.00
_cell_angle_beta 90.00
_cell_angle_gamma 90.00
loop_
_atom_site_label
_atom_site_fract_x
_atom_site_fract_y
_atom_site_fract_z
Ce1 0.0000 0.0000 0.0000
Pm1 0.5000 0.5000 0.0000
Th1 0.0000 0.0000 0.5000
Th2 0.0000 0.5000 0.0000
Th3 0.0000 0.5000 0.5000
Th4 0.2486 0.2486 0.2504
Th5 0.5000 0.5000 0.5000
# Volume: 31.94 Å³ per atom
# Formation enthalpy at 0 K: 3.62 kJ/mol of atoms
# Magnetization: 0.001 μB/cell
# Density of states at the Fermi level: 1.80 states/eV per atom